(a)
This record from the Alexandria database describes TeW2Br after structural relaxation. The functional is GGA-PBEsol.

Cell lengths 2.872, 4.538, 5.966 Å; angles 90.00, 98.62, 90.00 degrees
Atoms (fractional coordinates):
Te1 0.000 0.500 0.000
Br1 0.500 0.500 0.500
W1 0.302 0.000 0.283
W2 0.698 0.000 0.717

Results
M_tot	0.00	μB/f.u.
crystal system	monoclinic
SG	P2/m

(b)
This record from the Alexandria database describes TeW2Br after structural relaxation. The functional is GGA-PBEsol.

Cell lengths 3.353, 4.087, 6.747 Å; angles 90.00, 95.23, 90.00 degrees
Atoms (fractional coordinates):
Te1 0.147 0.500 0.823
Br1 0.552 0.000 0.431
W1 0.124 0.000 0.097
W2 0.677 0.500 0.150

Results
M_tot	0.00	μB/f.u.
crystal system	monoclinic
SG	Pm

Most stable of them? (b).

(a)
This record from the Alexandria database describes YTeBr2 after structural relaxation. The functional is GGA-PBEsol.

Cell lengths 3.405, 3.405, 9.320 Å; angles 90.00, 90.00, 90.00 degrees
Atoms (fractional coordinates):
Y1 0.500 0.500 0.500
Te1 0.500 0.500 0.000
Br1 0.000 0.000 0.678
Br2 0.000 0.000 0.322

Results
M_tot	0.00	μB/f.u.
crystal system	tetragonal
SG	P4/mmm

(b)
This record from the Alexandria database describes YTeBr2 after structural relaxation. The functional is GGA-PBEsol.

Cell lengths 3.881, 3.881, 7.491 Å; angles 90.00, 90.00, 90.00 degrees
Atoms (fractional coordinates):
Y1 0.500 0.500 0.708
Te1 0.000 0.000 0.531
Br1 0.000 0.000 0.951
Br2 0.500 0.500 0.310

Results
M_tot	0.00	μB/f.u.
crystal system	tetragonal
SG	P4mm

Most stable of them? (a).

(a)
This record from the Alexandria database describes ZnTe2Br after structural relaxation. The functional is GGA-PBEsol.

Cell lengths 3.650, 4.927, 6.237 Å; angles 113.26, 107.01, 90.00 degrees
Atoms (fractional coordinates):
Br1 0.000 0.500 0.000
Te1 0.799 0.799 0.598
Te2 0.201 0.201 0.402
Zn1 0.500 0.000 0.000

Results
M_tot	0.00	μB/f.u.
crystal system	orthorhombic
SG	Immm

(b)
This record from the Alexandria database describes ZnTe2Br after structural relaxation. The functional is GGA-PBEsol.

Cell lengths 5.364, 5.364, 9.612 Å; angles 106.20, 106.20, 90.00 degrees
Atoms (fractional coordinates):
Zn1 0.750 0.250 0.500
Zn2 0.500 0.500 0.000
Te1 0.758 0.375 0.250
Te2 0.492 0.875 0.250
Te3 0.625 0.508 0.750
Te4 0.125 0.242 0.750
Br1 0.250 0.750 0.500
Br2 0.000 0.000 0.000

Results
M_tot	0.00	μB/f.u.
crystal system	tetragonal
SG	I-42d

(c)
This record from the Alexandria database describes ZnTe2Br after structural relaxation. The functional is GGA-PBEsol.

Cell lengths 3.318, 3.318, 10.886 Å; angles 81.23, 81.23, 60.00 degrees
Atoms (fractional coordinates):
Zn1 0.000 0.000 0.000
Te1 0.921 0.921 0.238
Te2 0.079 0.079 0.762
Br1 0.500 0.500 0.500

Results
M_tot	0.00	μB/f.u.
crystal system	trigonal
SG	R-3m

(d)
This record from the Alexandria database describes ZnTe2Br after structural relaxation. The functional is GGA-PBEsol.

Cell lengths 4.066, 3.823, 8.065 Å; angles 90.00, 90.00, 122.13 degrees
Atoms (fractional coordinates):
Br1 0.500 0.000 0.000
Te1 0.000 0.000 0.704
Te2 0.000 0.000 0.296
Zn1 0.500 0.000 0.500

Results
M_tot	0.00	μB/f.u.
crystal system	orthorhombic
SG	Cmmm

Most stable of them? (a).